Entry 1:
Here is crystalline HfInF2 at its relaxed geometry from Alexandria. Energies are from GGA-PBE.

The structure in POSCAR format:
```
HfInF2
1.0
0.0000 3.1741 3.1741
3.1741 0.0000 3.1741
3.1741 3.1741 0.0000
Hf F In
1 2 1
direct
0.5000 0.5000 0.5000 Hf
0.7500 0.7500 0.7500 F
0.2500 0.2500 0.2500 F
0.0000 0.0000 0.0000 In
```

Values from the calculation:
- Spin magnetization: 1.0 μB/f.u.
- Energy relative to the elements, uncorrected: -0.9777 eV per atom
- DOS(E_F): 0.782 states/eV/atom
- Electronic total energy: -5.086 eV per atom

Entry 2:
Here is crystalline BaPm2NdTl4 at its relaxed geometry from Alexandria. Energies are from GGA-PBE.

The structure in POSCAR format:
```
BaPm2NdTl4
1.0
5.6302 0.0000 0.0000
2.8151 4.8759 0.0000
2.8151 1.6253 9.2583
Pm Tl Ba Nd
2 4 1 1
direct
0.2506 0.2506 0.2481 Pm
0.7494 0.7494 0.7519 Pm
0.3812 0.3812 0.8565 Tl
0.8713 0.8713 0.3861 Tl
0.1287 0.1287 0.6139 Tl
0.6188 0.6188 0.1435 Tl
0.0000 0.0000 0.0000 Ba
0.5000 0.5000 0.5000 Nd
```

Values from the calculation:
- Spin magnetization: 0.0 μB/f.u.
- DOS(E_F): 0.866 states/eV/atom
- Electronic total energy: -3.531 eV per atom
- ΔH_f (0 K): -2.59 eV/f.u.

Entry 3:
Here is crystalline PrOs at its relaxed geometry from Alexandria. Energies are from GGA-PBE.

The structure in POSCAR format:
```
PrOs
1.0
-3.4589 0.0086 -2.6157
-3.2965 -1.6047 4.3538
-1.4250 8.1116 1.9109
Os Pr
4 4
direct
0.2500 0.5804 0.0274 Os
0.2500 0.9196 0.5274 Os
0.7500 0.0804 0.4726 Os
0.7500 0.4196 0.9726 Os
0.2500 0.0885 0.1758 Pr
0.7500 0.9115 0.8242 Pr
0.7500 0.5885 0.3242 Pr
0.2500 0.4115 0.6758 Pr
```

Values from the calculation:
- Spin magnetization: 0.0 μB/f.u.
- DOS(E_F): 0.710 states/eV/atom
- Electronic total energy: -8.018 eV per atom
- ΔH_f (0 K): -0.03 eV/f.u.